Material: NdSmDyAg
Method: DFT, PBE
State: optimized geometry

Structure (POSCAR):
```
NdSmDyAg
1.0
-1.903 4.654 -2.158
-5.286 0.432 -1.343
-3.312 3.221 2.931
Nd Ag Dy Sm
1 1 1 1
Cartesian
0.000 0.000 0.000
-2.625 2.077 -0.142
-7.876 6.230 -0.427
-5.251 4.153 -0.285
```

Values from the calculation:
Crystal system: cubic
Polymorph energy (0 for the lowest one) (meV/atom): 189.7
ΔE_f (meV/atom): 65
Mass density (g/cm3): 8.101
VASP energy (eV per formula unit): -16.68
Space-group type: F-43m